No. 1
CsPH2C: relaxed, PBE.

Geometry as CIF:
```
data_CsPH2C
_chemical_formula_sum 'Cs2 P2 H4 C2'
_symmetry_space_group_name_H-M 'C 1 m 1'
_symmetry_Int_Tables_number 8
_symmetry_space_group_name_Hall 'C -2y'
_cell_length_a 10.1925
_cell_length_b 3.1455
_cell_length_c 5.1378
_cell_angle_alpha 90.00
_cell_angle_beta 93.39
_cell_angle_gamma 90.00
loop_
_atom_site_label
_atom_site_fract_x
_atom_site_fract_y
_atom_site_fract_z
Cs1 0.0000 0.0000 0.0000
P1 0.2295 0.5000 0.4783
H1 0.2314 0.5000 0.7672
H2 0.4230 0.0000 0.4932
C1 0.3190 0.0000 0.4155
```

Computed properties:
Its energy above the most stable polymorph in this dataset is 82.6 meV per atom.



No. 2
Rb2NaTl6: relaxed, PBE.

Geometry as CIF:
```
data_Rb2NaTl6
_chemical_formula_sum 'Rb2 Na1 Tl6'
_symmetry_space_group_name_H-M 'P -3 m 1'
_symmetry_Int_Tables_number 164
_symmetry_space_group_name_Hall '-P 3 2"'
_cell_length_a 7.0123
_cell_length_b 7.0123
_cell_length_c 7.6185
_cell_angle_alpha 90.00
_cell_angle_beta 90.00
_cell_angle_gamma 120.00
loop_
_atom_site_label
_atom_site_fract_x
_atom_site_fract_y
_atom_site_fract_z
Rb1 0.3333 0.6667 0.1352
Na1 0.0000 0.0000 0.0000
Tl1 0.1745 0.3490 0.6606
```

Computed properties:
The calculation puts the calculated formation energy at -0.5 eV/f.u.



No. 3
Eu3Zn: relaxed, PBE.

Geometry as CIF:
```
data_Eu3Zn
_chemical_formula_sum 'Eu3 Zn1'
_symmetry_space_group_name_H-M 'P m -3 m'
_symmetry_Int_Tables_number 221
_symmetry_space_group_name_Hall '-P 4 2 3'
_cell_length_a 5.0890
_cell_length_b 5.0890
_cell_length_c 5.0890
_cell_angle_alpha 90.00
_cell_angle_beta 90.00
_cell_angle_gamma 90.00
loop_
_atom_site_label
_atom_site_fract_x
_atom_site_fract_y
_atom_site_fract_z
Eu1 0.0000 0.0000 0.5000
Zn1 0.5000 0.5000 0.5000
```

Computed properties:
The calculation puts the calculated formation energy at 0.0 eV/f.u.



No. 4
BaAg5Sn: relaxed, PBE.

Geometry as CIF:
```
data_BaAg5Sn
_chemical_formula_sum 'Ba4 Ag20 Sn4'
_symmetry_space_group_name_H-M 'P n m a'
_symmetry_Int_Tables_number 62
_symmetry_space_group_name_Hall '-P 2ac 2n'
_cell_length_a 9.4186
_cell_length_b 5.8264
_cell_length_c 11.7313
_cell_angle_alpha 90.00
_cell_angle_beta 90.00
_cell_angle_gamma 90.00
loop_
_atom_site_label
_atom_site_fract_x
_atom_site_fract_y
_atom_site_fract_z
Ba1 0.2377 0.2500 0.0591
Ag1 0.0698 0.0034 0.3056
Ag2 0.0726 0.7500 0.0910
Ag3 0.0873 0.2500 0.5172
Ag4 0.1758 0.2500 0.7566
Sn1 0.1458 0.7500 0.8542
```

Computed properties:
The calculation puts the calculated formation energy at -1.4 eV/f.u.



No. 5
Mg2Sc4Tl: relaxed, PBE.

Geometry as CIF:
```
data_Mg2Sc4Tl
_chemical_formula_sum 'Mg4 Sc8 Tl2'
_symmetry_space_group_name_H-M 'C m m m'
_symmetry_Int_Tables_number 65
_symmetry_space_group_name_Hall '-C 2 2'
_cell_length_a 7.6162
_cell_length_b 9.6858
_cell_length_c 4.6559
_cell_angle_alpha 90.00
_cell_angle_beta 90.00
_cell_angle_gamma 90.00
loop_
_atom_site_label
_atom_site_fract_x
_atom_site_fract_y
_atom_site_fract_z
Mg1 0.0000 0.2251 0.0000
Sc1 0.2073 0.5000 0.0000
Sc2 0.2500 0.2500 0.5000
Tl1 0.0000 0.0000 0.5000
```

Computed properties:
The calculation puts the calculated formation energy at 0.4 eV/f.u.



No. 6
LiNpAg2Cl8: relaxed, PBE.

Geometry as CIF:
```
data_LiNpAg2Cl8
_chemical_formula_sum 'Li1 Np1 Ag2 Cl8'
_symmetry_space_group_name_H-M 'P 1 2/m 1'
_symmetry_Int_Tables_number 10
_symmetry_space_group_name_Hall '-P 2y'
_cell_length_a 6.3394
_cell_length_b 7.8555
_cell_length_c 6.6050
_cell_angle_alpha 90.00
_cell_angle_beta 97.78
_cell_angle_gamma 90.00
loop_
_atom_site_label
_atom_site_fract_x
_atom_site_fract_y
_atom_site_fract_z
Li1 0.0000 0.0000 0.0000
Np1 0.0000 0.5000 0.0000
Ag1 0.5000 0.2300 0.5000
Cl1 0.2069 0.2686 0.8453
Cl2 0.2618 0.0000 0.3106
Cl3 0.2794 0.5000 0.3268
```

Computed properties:
As for the formation energy from raw total energies: -1.1466 eV/atom.



No. 7
Mg3In12Ag: relaxed, PBE.

Geometry as CIF:
```
data_Mg3In12Ag
_chemical_formula_sum 'Mg3 In12 Ag1'
_symmetry_space_group_name_H-M 'P 4/m m m'
_symmetry_Int_Tables_number 123
_symmetry_space_group_name_Hall '-P 4 2'
_cell_length_a 4.6852
_cell_length_b 4.6852
_cell_length_c 18.1131
_cell_angle_alpha 90.00
_cell_angle_beta 90.00
_cell_angle_gamma 90.00
loop_
_atom_site_label
_atom_site_fract_x
_atom_site_fract_y
_atom_site_fract_z
Mg1 0.0000 0.0000 0.0000
Mg2 0.0000 0.0000 0.2523
In1 0.0000 0.5000 0.1262
In2 0.0000 0.5000 0.3791
In3 0.5000 0.5000 0.0000
In4 0.5000 0.5000 0.2519
In5 0.5000 0.5000 0.5000
Ag1 0.0000 0.0000 0.5000
```

Computed properties:
The calculation puts the calculated formation energy at -0.2 eV/f.u.



No. 8
Cs3La2PbSe6: relaxed, PBE.

Geometry as CIF:
```
data_Cs3La2PbSe6
_chemical_formula_sum 'Cs6 La4 Pb2 Se12'
_symmetry_space_group_name_H-M 'C 1 2/m 1'
_symmetry_Int_Tables_number 12
_symmetry_space_group_name_Hall '-C 2y'
_cell_length_a 7.7514
_cell_length_b 13.4237
_cell_length_c 8.7879
_cell_angle_alpha 90.00
_cell_angle_beta 107.07
_cell_angle_gamma 90.00
loop_
_atom_site_label
_atom_site_fract_x
_atom_site_fract_y
_atom_site_fract_z
Cs1 0.0000 0.0000 0.0000
Cs2 0.0000 0.3348 0.0000
La1 0.0000 0.1669 0.5000
Pb1 0.0000 0.5000 0.5000
Se1 0.2296 0.0000 0.6925
Se2 0.2315 0.3328 0.6927
```

Computed properties:
As for the formation energy from raw total energies: -1.4121 eV/atom.